Entry P
Entry from Alexandria: Dy2Er5Tm12 after structural relaxation (PBE).

Lattice parameters (Å, degrees): 6.404 8.719 11.698 115.41 99.30 81.49
Fractional coordinates of all 19 atoms:
Dy: 0.736 0.015 0.960
Dy: 0.264 0.985 0.040
Er: 0.487 0.670 0.781
Er: 0.201 0.709 0.198
Er: 0.000 0.000 0.500
Er: 0.799 0.291 0.802
Er: 0.513 0.330 0.219
Tm: 0.948 0.114 0.270
Tm: 0.032 0.628 0.869
Tm: 0.670 0.706 0.078
Tm: 0.221 0.557 0.459
Tm: 0.703 0.690 0.362
Tm: 0.521 0.935 0.637
Tm: 0.479 0.065 0.363
Tm: 0.779 0.443 0.541
Tm: 0.297 0.310 0.638
Tm: 0.968 0.372 0.131
Tm: 0.330 0.294 0.922
Tm: 0.052 0.886 0.730

## Properties
V ... 580.0 Å³ per cell

***

Entry Q
Entry from Alexandria: Dy2Er5Tm12 after structural relaxation (PBE).

Lattice parameters (Å, degrees): 9.068 8.996 8.358 90.87 90.00 120.26
Fractional coordinates of all 19 atoms:
Dy: 0.681 0.000 0.000
Dy: 0.319 0.000 0.000
Er: 0.233 0.466 0.576
Er: 0.302 0.604 0.992
Er: 0.000 0.000 0.500
Er: 0.698 0.396 0.008
Er: 0.767 0.534 0.424
Tm: 0.907 0.815 0.115
Tm: 0.026 0.688 0.755
Tm: 0.662 0.688 0.755
Tm: 0.180 0.746 0.342
Tm: 0.566 0.746 0.342
Tm: 0.443 0.887 0.668
Tm: 0.557 0.113 0.332
Tm: 0.820 0.254 0.658
Tm: 0.434 0.254 0.658
Tm: 0.974 0.312 0.245
Tm: 0.338 0.312 0.245
Tm: 0.093 0.185 0.885

## Properties
V ... 588.8 Å³ per cell

***

Here is how they stack up, most stable first: entry P, entry Q.